# TaTi2In | Alexandria via LeMat-Bulk | PBE-GGA | optimized geometry
# Crystal system: tetragonal
# E_tot: -7.726 eV per atom
data_TaTi2In
_cell_length_a 3.363
_cell_length_b 3.363
_cell_length_c 6.522
_cell_angle_alpha 90.00
_cell_angle_beta 90.00
_cell_angle_gamma 90.00
_space_group_name_H-M_alt 'P 4/m m m'
_space_group_IT_number 123
_space_group_name_Hall '-P 4 2'
loop_
_atom_site_label
_atom_site_fract_x
_atom_site_fract_y
_atom_site_fract_z
Ta1 0.000 0.000 0.000
Ti1 0.500 0.500 0.228
In1 0.000 0.000 0.500

---

# Ta2Ti2In | Alexandria via LeMat-Bulk | PBE-GGA | optimized geometry
# Crystal system: tetragonal
# E_tot: -8.269 eV per atom
data_Ta2Ti2In
_cell_length_a 7.244
_cell_length_b 7.244
_cell_length_c 3.545
_cell_angle_alpha 90.00
_cell_angle_beta 90.00
_cell_angle_gamma 90.00
_space_group_name_H-M_alt 'P 4/m b m'
_space_group_IT_number 127
_space_group_name_Hall '-P 4 2ab'
loop_
_atom_site_label
_atom_site_fract_x
_atom_site_fract_y
_atom_site_fract_z
Ta1 0.168 0.332 0.000
Ti1 0.129 0.629 0.500
In1 0.000 0.000 0.500

---

# TaTi2In | Alexandria via LeMat-Bulk | PBE-GGA | optimized geometry
# Crystal system: tetragonal
# E_tot: -7.081 eV per atom
data_TaTi2In
_cell_length_a 3.986
_cell_length_b 3.986
_cell_length_c 19.910
_cell_angle_alpha 90.00
_cell_angle_beta 90.00
_cell_angle_gamma 90.00
_space_group_name_H-M_alt 'I -4 2 d'
_space_group_IT_number 122
_space_group_name_Hall 'I -4 2bw'
loop_
_atom_site_label
_atom_site_fract_x
_atom_site_fract_y
_atom_site_fract_z
Ta1 0.000 0.000 0.000
Ti1 0.237 0.250 0.125
In1 0.000 0.000 0.500

---

# TaTi3In | Alexandria via LeMat-Bulk | PBE-GGA | optimized geometry
# Crystal system: cubic
# E_tot: -6.126 eV per atom
data_TaTi3In
_cell_length_a 4.887
_cell_length_b 4.887
_cell_length_c 4.887
_cell_angle_alpha 90.00
_cell_angle_beta 90.00
_cell_angle_gamma 90.00
_space_group_name_H-M_alt 'P m -3 m'
_space_group_IT_number 221
_space_group_name_Hall '-P 4 2 3'
loop_
_atom_site_label
_atom_site_fract_x
_atom_site_fract_y
_atom_site_fract_z
Ta1 0.000 0.000 0.000
Ti1 0.000 0.500 0.500
In1 0.500 0.500 0.500

---

# Ta3TiIn | Alexandria via LeMat-Bulk | PBE-GGA | optimized geometry
# Crystal system: cubic
# E_tot: -7.149 eV per atom
data_Ta3TiIn
_cell_length_a 4.973
_cell_length_b 4.973
_cell_length_c 4.973
_cell_angle_alpha 90.00
_cell_angle_beta 90.00
_cell_angle_gamma 90.00
_space_group_name_H-M_alt 'P m -3 m'
_space_group_IT_number 221
_space_group_name_Hall '-P 4 2 3'
loop_
_atom_site_label
_atom_site_fract_x
_atom_site_fract_y
_atom_site_fract_z
Ta1 0.000 0.000 0.500
Ti1 0.500 0.500 0.500
In1 0.000 0.000 0.000

---

# TaTi6In5 | Alexandria via LeMat-Bulk | PBE-GGA | optimized geometry
# Crystal system: orthorhombic
# E_tot: -6.184 eV per atom
data_TaTi6In5
_cell_length_a 4.378
_cell_length_b 13.302
_cell_length_c 7.796
_cell_angle_alpha 90.00
_cell_angle_beta 90.00
_cell_angle_gamma 90.00
_space_group_name_H-M_alt 'C m m m'
_space_group_IT_number 65
_space_group_name_Hall '-C 2 2'
loop_
_atom_site_label
_atom_site_fract_x
_atom_site_fract_y
_atom_site_fract_z
Ta1 0.000 0.000 0.000
Ti1 0.000 0.164 0.241
Ti2 0.000 0.500 0.239
In1 0.000 0.000 0.500
In2 0.000 0.332 0.500
In3 0.000 0.337 0.000

---

# Ta2Ti15In2 | Alexandria via LeMat-Bulk | PBE-GGA | optimized geometry
# Crystal system: trigonal
# E_tot: -7.481 eV per atom
data_Ta2Ti15In2
_cell_length_a 9.1096
_cell_length_b 9.1096
_cell_length_c 14.5308
_cell_angle_alpha 90.00
_cell_angle_beta 90.00
_cell_angle_gamma 120.00
_space_group_name_H-M_alt 'R -3 m'
_space_group_IT_number 166
_space_group_name_Hall '-R 3 2"'
loop_
_atom_site_label
_atom_site_fract_x
_atom_site_fract_y
_atom_site_fract_z
Ta1 0.0000 0.0000 0.0933
Ti1 0.0000 0.2959 0.0000
Ti2 0.0000 0.5000 0.5000
Ti3 0.0286 0.5143 0.1389
In1 0.0000 0.0000 0.3099

---

# TaTi3In | Alexandria via LeMat-Bulk | PBE-GGA | optimized geometry
# Crystal system: hexagonal
# E_tot: -7.203 eV per atom
data_TaTi3In
_cell_length_a 6.6205
_cell_length_b 6.6205
_cell_length_c 5.2886
_cell_angle_alpha 90.00
_cell_angle_beta 90.00
_cell_angle_gamma 120.00
_space_group_name_H-M_alt 'P 63/m m c'
_space_group_IT_number 194
_space_group_name_Hall '-P 6c 2c'
loop_
_atom_site_label
_atom_site_fract_x
_atom_site_fract_y
_atom_site_fract_z
Ta1 0.0000 0.0000 0.0000
Ti1 0.1974 0.3947 0.2500
In1 0.3333 0.6667 0.7500

---

# TaTi4In | Alexandria via LeMat-Bulk | PBE-GGA | optimized geometry
# Crystal system: tetragonal
# E_tot: -7.131 eV per atom
data_TaTi4In
_cell_length_a 4.381
_cell_length_b 4.381
_cell_length_c 6.696
_cell_angle_alpha 90.00
_cell_angle_beta 90.00
_cell_angle_gamma 90.00
_space_group_name_H-M_alt 'P 4/m m m'
_space_group_IT_number 123
_space_group_name_Hall '-P 4 2'
loop_
_atom_site_label
_atom_site_fract_x
_atom_site_fract_y
_atom_site_fract_z
Ta1 0.000 0.000 0.000
Ti1 0.000 0.500 0.225
In1 0.500 0.500 0.500

---

# Ta2Ti2In | Alexandria via LeMat-Bulk | PBE-GGA | optimized geometry
# Crystal system: tetragonal
# E_tot: -8.233 eV per atom
data_Ta2Ti2In
_cell_length_a 7.392
_cell_length_b 7.392
_cell_length_c 3.523
_cell_angle_alpha 90.00
_cell_angle_beta 90.00
_cell_angle_gamma 90.00
_space_group_name_H-M_alt 'P 4/m b m'
_space_group_IT_number 127
_space_group_name_Hall '-P 4 2ab'
loop_
_atom_site_label
_atom_site_fract_x
_atom_site_fract_y
_atom_site_fract_z
Ta1 0.127 0.373 0.000
Ti1 0.169 0.669 0.500
In1 0.000 0.000 0.000

---

# TaTi4In | Alexandria via LeMat-Bulk | PBE-GGA | optimized geometry
# Crystal system: monoclinic
# E_tot: -7.744 eV per atom
data_TaTi4In
_cell_length_a 9.918
_cell_length_b 3.584
_cell_length_c 6.394
_cell_angle_alpha 90.00
_cell_angle_beta 109.03
_cell_angle_gamma 90.00
_space_group_name_H-M_alt 'C 1 2/m 1'
_space_group_IT_number 12
loop_
_space_group_symop_operation_xyz
'x,y,z'
'-x,-y,-z'
'-x,y,-z'
'x,-y,z'
'x+1/2,y+1/2,z'
'-x+1/2,-y+1/2,-z'
'-x+1/2,y+1/2,-z'
'x+1/2,-y+1/2,z'
loop_
_atom_site_label
_atom_site_fract_x
_atom_site_fract_y
_atom_site_fract_z
Ta1 0.000 0.000 0.000
Ti1 0.169 0.500 0.323
Ti2 0.172 0.500 0.845
In1 0.000 0.000 0.500

---

# Ta2Ti3In2 | Alexandria via LeMat-Bulk | PBE-GGA | optimized geometry
# Crystal system: orthorhombic
# E_tot: -7.493 eV per atom
data_Ta2Ti3In2
_cell_length_a 4.191
_cell_length_b 21.716
_cell_length_c 2.916
_cell_angle_alpha 90.00
_cell_angle_beta 90.00
_cell_angle_gamma 90.00
_space_group_name_H-M_alt 'C m m m'
_space_group_IT_number 65
_space_group_name_Hall '-C 2 2'
loop_
_atom_site_label
_atom_site_fract_x
_atom_site_fract_y
_atom_site_fract_z
Ta1 0.000 0.212 0.000
Ti1 0.000 0.352 0.500
Ti2 0.000 0.500 0.500
In1 0.000 0.074 0.000

---

| no. | E_form (eV per atom) |
| --- | --- |
| 1 | -0.130 |
| 2 | 0.178 |
| 3 | 0.515 |
| 4 | 1.529 |
| 5 | 2.089 |
| 6 | -0.108 |
| 7 | 0.288 |
| 8 | 0.453 |
| 9 | 0.564 |
| 10 | 0.213 |
| 11 | -0.049 |
| 12 | 0.059 |